Entry 1:
PBE+U Fe2Ag2F7, optimized geometry; N(E_F) = 4.31 states/eV/f.u.
1.0
3.376 -3.810 0.000
3.376 3.810 0.000
0.000 0.000 5.671
Fe Ag F
2 2 7
Direct
0.223 0.777 0.000 Fe
0.777 0.223 0.000 Fe
0.283 0.283 0.500 Ag
0.717 0.717 0.500 Ag
0.000 0.000 0.213 F
0.000 0.000 0.787 F
0.000 0.500 0.223 F
0.000 0.500 0.777 F
0.500 0.000 0.223 F
0.500 0.000 0.777 F
0.500 0.500 0.000 F

Entry 2:
PBE+U Fe3AgF, optimized geometry; polymorph energy (0 for the lowest one) = 204.4 kJ/mol of formula units; N(E_F) = 1.93 states/eV/f.u.
1.0
5.031 0.000 0.000
0.000 5.031 0.000
0.000 0.000 5.031
Fe Ag F
3 1 1
Direct
0.000 0.000 0.500 Fe
0.000 0.500 0.000 Fe
0.500 0.000 0.000 Fe
0.000 0.000 0.000 Ag
0.500 0.500 0.500 F

Entry 3:
PBE+U FeAg2F4, optimized geometry; N(E_F) = 0.57 states/eV/f.u.
1.0
5.744 0.000 0.000
0.000 3.278 0.000
-2.574 0.000 5.623
Fe Ag F
1 2 4
Direct
0.000 0.000 0.000 Fe
0.372 0.500 0.663 Ag
0.628 0.500 0.337 Ag
0.197 0.000 0.356 F
0.235 0.500 0.980 F
0.765 0.500 0.020 F
0.803 0.000 0.644 F

Entry 4:
PBE+U FeAg7F12, optimized geometry; N(E_F) = 11.65 states/eV/f.u.
1.0
6.447 3.722 2.192
-6.447 3.722 2.192
0.000 -7.445 2.192
Fe Ag F
1 7 12
Direct
0.000 0.000 0.000 Fe
0.102 0.238 0.695 Ag
0.238 0.695 0.102 Ag
0.305 0.898 0.762 Ag
0.500 0.500 0.500 Ag
0.695 0.102 0.238 Ag
0.762 0.305 0.898 Ag
0.898 0.762 0.305 Ag
0.074 0.147 0.313 F
0.147 0.313 0.074 F
0.209 0.768 0.383 F
0.232 0.617 0.791 F
0.313 0.074 0.147 F
0.383 0.209 0.768 F
0.617 0.791 0.232 F
0.687 0.926 0.853 F
0.768 0.383 0.209 F
0.791 0.232 0.617 F
0.853 0.687 0.926 F
0.926 0.853 0.687 F

Entry 5:
PBE+U Fe2Ag5F12, optimized geometry; N(E_F) = 3.16 states/eV/f.u.
1.0
6.511 -3.101 0.000
6.511 3.101 0.000
-2.524 0.000 7.245
Fe Ag F
2 5 12
Direct
0.250 0.750 0.000 Fe
0.750 0.250 0.000 Fe
0.000 0.000 0.500 Ag
0.289 0.289 0.592 Ag
0.302 0.302 0.190 Ag
0.698 0.698 0.810 Ag
0.711 0.711 0.408 Ag
0.006 0.006 0.168 F
0.101 0.630 0.439 F
0.108 0.585 0.927 F
0.370 0.899 0.561 F
0.415 0.892 0.073 F
0.495 0.495 0.827 F
0.505 0.505 0.173 F
0.585 0.108 0.927 F
0.630 0.101 0.439 F
0.892 0.415 0.073 F
0.899 0.370 0.561 F
0.994 0.994 0.832 F

Entry 6:
PBE+U FeAgHg2F8, optimized geometry; N(E_F) = 1.61 states/eV/f.u.
1.0
-3.576 3.576 3.800
3.576 -3.576 3.800
3.576 3.576 -3.800
Fe Ag Hg F
1 1 2 8
Direct
0.000 0.000 0.000 Fe
0.750 0.250 0.500 Ag
0.250 0.750 0.500 Hg
0.500 0.500 0.000 Hg
0.055 0.326 0.270 F
0.055 0.785 0.730 F
0.084 0.258 0.826 F
0.215 0.945 0.270 F
0.432 0.258 0.174 F
0.674 0.945 0.730 F
0.742 0.568 0.826 F
0.742 0.916 0.174 F

Entry 7:
PBE+U FeAg2HgF6, optimized geometry; N(E_F) = 3.77 states/eV/f.u.
1.0
5.921 0.000 0.000
0.000 5.998 0.000
-5.859 0.000 8.467
Fe Ag Hg F
2 4 2 12
Direct
0.000 0.000 0.000 Fe
0.000 0.500 0.500 Fe
0.232 0.060 0.750 Ag
0.232 0.440 0.250 Ag
0.768 0.560 0.750 Ag
0.768 0.940 0.250 Ag
0.500 0.000 0.500 Hg
0.500 0.500 0.000 Hg
0.110 0.217 0.440 F
0.110 0.283 0.940 F
0.222 0.691 0.433 F
0.222 0.809 0.933 F
0.355 0.045 0.234 F
0.355 0.455 0.734 F
0.645 0.545 0.266 F
0.645 0.955 0.766 F
0.778 0.191 0.067 F
0.778 0.309 0.567 F
0.890 0.717 0.060 F
0.890 0.783 0.560 F

Entry 8:
PBE+U HoFeAgF6, optimized geometry; N(E_F) = 6.72 states/eV/f.u.
1.0
5.782 0.000 0.000
-2.891 5.008 0.000
0.000 0.000 10.002
Ho Fe Ag F
2 2 2 12
Direct
0.333 0.667 0.250 Ho
0.667 0.333 0.750 Ho
0.333 0.667 0.750 Fe
0.667 0.333 0.250 Fe
0.000 0.000 0.000 Ag
0.000 0.000 0.500 Ag
0.010 0.371 0.639 F
0.010 0.639 0.861 F
0.361 0.371 0.861 F
0.361 0.990 0.639 F
0.371 0.010 0.139 F
0.371 0.361 0.361 F
0.629 0.639 0.639 F
0.629 0.990 0.861 F
0.639 0.010 0.361 F
0.639 0.629 0.139 F
0.990 0.361 0.139 F
0.990 0.629 0.361 F

Entry 9:
PBE+U FeAgIF2, optimized geometry; polymorph energy (0 for the lowest one) = 0.0 kJ/mol of formula units; N(E_F) = 3.63 states/eV/f.u.
1.0
4.068 0.000 0.000
0.000 4.068 0.000
0.000 0.000 6.143
Fe Ag I F
1 1 1 2
Direct
0.000 0.000 0.000 Fe
0.500 0.500 0.500 Ag
0.000 0.000 0.500 I
0.000 0.500 0.000 F
0.500 0.000 0.000 F

Entry 10:
PBE+U FeAgI2F, optimized geometry; N(E_F) = 0.47 states/eV/f.u.
1.0
5.739 0.000 0.000
0.000 5.739 0.000
0.000 0.000 3.958
Fe Ag I F
1 1 2 1
Direct
0.000 0.000 0.000 Fe
0.500 0.500 0.500 Ag
0.000 0.500 0.000 I
0.500 0.000 0.000 I
0.000 0.000 0.500 F

Entry 11:
PBE+U FeAgIF2, optimized geometry; polymorph energy (0 for the lowest one) = 571.3 kJ/mol of formula units; N(E_F) = 1.40 states/eV/f.u.
1.0
4.467 0.000 0.000
0.000 4.467 0.000
0.000 0.000 5.469
Fe Ag I F
1 1 1 2
Direct
0.000 0.000 0.000 Fe
0.500 0.500 0.000 Ag
0.500 0.500 0.500 I
0.000 0.500 0.500 F
0.500 0.000 0.500 F

Entry 12:
PBE+U K3FeAg2F9, optimized geometry; N(E_F) = 2.24 states/eV/f.u.
1.0
6.182 0.000 0.000
-3.091 5.354 0.000
0.000 0.000 7.562
K Fe Ag F
3 1 2 9
Direct
0.000 0.000 0.000 K
0.333 0.667 0.704 K
0.667 0.333 0.296 K
0.000 0.000 0.500 Fe
0.333 0.667 0.181 Ag
0.667 0.333 0.819 Ag
0.000 0.500 0.000 F
0.149 0.298 0.350 F
0.149 0.851 0.350 F
0.298 0.149 0.650 F
0.500 0.000 0.000 F
0.500 0.500 0.000 F
0.702 0.851 0.350 F
0.851 0.149 0.650 F
0.851 0.702 0.650 F

Which spin magnetization belongs to each record? In order, 0.818 2.362 0.571 0.217 0.559 0.419 0.402 0.444 0.822 0.800 0.813 0.264 μB per atom.
Which total energy belongs to each record? In order, -50.134 -17.371 -29.965 -73.833 -78.791 -42.620 -76.611 -97.148 -19.666 -17.138 -13.746 -64.323 eV per cell.